## Rb6CoO4 (PBE+U)

Data for an optimized crystal structure of Rb6CoO4.

Output
- total magnetic moment (μB/atom) = 0.273
- calculated volume (Å³ per atom) = 22.5
- theoretical density (g/cm³) = 4.26
- calculated total energy (eV per atom) = -3.771

```
Rb6CoO4
1.0
-1.014 6.702 1.539
-8.848 -1.612 1.187
5.725 -0.740 6.999
Rb O Co
12 8 2
Direct
0.968 0.854 0.709
0.630 0.538 0.076
0.130 0.462 0.538
0.468 0.146 0.291
0.468 0.146 0.854
0.968 0.291 0.146
0.968 0.854 0.146
0.630 0.924 0.462
0.468 0.709 0.854
0.630 0.538 0.462
0.130 0.076 0.538
0.130 0.462 0.924
0.837 0.207 0.793
0.337 0.793 0.586
0.446 0.333 0.667
0.337 0.793 0.207
0.337 0.414 0.207
0.946 0.667 0.333
0.837 0.207 0.414
0.837 0.586 0.793
0.239 0.667 0.333
0.739 0.333 0.667
```